Crystalline V5Si4Mo2 at its relaxed geometry, computed with PBE.

Cell and atoms, written as POSCAR:
```
V5Si4Mo2
1.0
-3.8858 0.8839 2.6322
-5.0209 -2.7981 -2.1399
-1.1397 -4.3931 4.1256
V Si Mo
5 4 2
Direct
0.2456 0.8213 0.1787 V
0.0000 0.5000 0.5000 V
0.2456 0.1787 0.8213 V
0.7544 0.1787 0.8213 V
0.7544 0.8213 0.1787 V
0.7605 0.9098 0.5693 Si
0.7605 0.5693 0.9097 Si
0.2395 0.0902 0.4307 Si
0.2395 0.4307 0.0903 Si
0.6905 0.3095 0.3095 Mo
0.3095 0.6905 0.6905 Mo
```

Computed properties:
Raw formation energy ... -280 meV/atom
Total magnetic moment ... 0.00 μB/f.u.
Fermi-level density of states ... 0.623 states/eV per atom
Symmetry ... Immm (71)
Crystal system ... orthorhombic